PBE CaPmAl, optimized geometry; crystal system = tetragonal; ΔH_f (0 K) = -178.7 meV per atom; SG = I4mm, No. 107; N(E_F) = 3.8 states/eV per cell; M_tot = 0.00 μB per cell
1.0
3.632 0.000 0.000
0.000 3.632 0.000
0.000 0.000 13.646
Ca Pm Al
2 2 2
Direct
0.000 0.000 0.000
0.500 0.500 0.500
0.000 0.000 0.278
0.500 0.500 0.778
0.000 0.000 0.645
0.500 0.500 0.145